Crystalline Ti3MnPd at its relaxed geometry. Source: Alexandria, functional PBE.

Formation energy from the elements (eV/atom): 1.126
ΔE to the lowest computed polymorph (meV per atom): 1351
Raw total energy (eV per atom): -6.483
Magnetization (μB/atom): 0.27

The structure in CIF format:
```
data_Ti3MnPd
_symmetry_space_group_name_H-M 'P m -3 m'
_symmetry_Int_Tables_number 221
_symmetry_space_group_name_Hall '-P 4 2 3'
_cell_length_a 4.685
_cell_length_b 4.685
_cell_length_c 4.685
_cell_angle_alpha 90.00
_cell_angle_beta 90.00
_cell_angle_gamma 90.00
loop_
_atom_site_label
_atom_site_fract_x
_atom_site_fract_y
_atom_site_fract_z
_atom_site_occupancy
Ti1 0.000 0.000 0.500 1
Mn1 0.500 0.500 0.500 1
Pd1 0.000 0.000 0.000 1
```